(1)
A plane-wave DFT calculation with PBE was carried out for Tl3HgRh after structural relaxation.

Cell lengths 6.333, 6.333, 6.333 Å; angles 89.87, 89.87, 89.87 degrees
Atoms (fractional coordinates):
Tl  0.060  0.750  0.440
Tl  0.250  0.560  0.940
Tl  0.440  0.060  0.750
Tl  0.560  0.940  0.250
Tl  0.750  0.440  0.060
Tl  0.940  0.250  0.560
Hg  0.000  0.000  0.000
Hg  0.500  0.500  0.500
Rh  0.250  0.250  0.250
Rh  0.750  0.750  0.750

Values from the calculation:
- Total magnetic moment: 0.00 μB/f.u.
- Distance to the lowest polymorph of the same formula: 144.4 meV per atom
- Space group: R-3c (167)
- Energy of formation: 0.1219 eV/atom
- DOS(E_F): 3.572 states/eV/f.u.


(2)
A plane-wave DFT calculation with PBE was carried out for Er2Tm3Cd3 after structural relaxation.

Cell lengths 3.700, 5.262, 21.895 Å; angles 90.00, 90.00, 90.00 degrees
Atoms (fractional coordinates):
Er  0.000  0.000  0.234
Er  0.000  0.000  0.766
Er  0.500  0.500  0.266
Er  0.500  0.500  0.734
Tm  0.000  0.000  0.000
Tm  0.000  0.500  0.124
Tm  0.000  0.500  0.876
Tm  0.500  0.000  0.376
Tm  0.500  0.000  0.624
Tm  0.500  0.500  0.500
Cd  0.000  0.000  0.500
Cd  0.000  0.500  0.383
Cd  0.000  0.500  0.617
Cd  0.500  0.000  0.117
Cd  0.500  0.000  0.883
Cd  0.500  0.500  0.000

Values from the calculation:
- Total magnetic moment: 0.00 μB/f.u.
- Distance to the lowest polymorph of the same formula: 0.0 meV per atom
- Space group: Immm (71)
- Energy of formation: -0.2290 eV/atom
- DOS(E_F): 8.286 states/eV/f.u.


(3)
A plane-wave DFT calculation with PBE was carried out for Ca2CoH6Au after structural relaxation.

Cell lengths 4.903, 4.903, 5.158 Å; angles 90.00, 90.00, 120.00 degrees
Atoms (fractional coordinates):
Ca  0.333  0.667  0.217
Ca  0.667  0.333  0.783
Co  0.000  0.000  0.000
H  0.163  0.327  0.834
H  0.163  0.837  0.834
H  0.327  0.163  0.166
H  0.673  0.837  0.834
H  0.837  0.163  0.166
H  0.837  0.673  0.166
Au  0.000  0.000  0.500

Values from the calculation:
- Total magnetic moment: 0.00 μB/f.u.
- VASP energy: -3.76 eV per atom
- Space group: P-3m1 (164)
- DOS(E_F): 2.779 states/eV/f.u.


(4)
A plane-wave DFT calculation with PBE was carried out for Sm2Dy2Pt3 after structural relaxation.

Cell lengths 7.643, 7.643, 7.643 Å; angles 109.47, 109.47, 109.47 degrees
Atoms (fractional coordinates):
Sm  0.000  0.374  0.500
Sm  0.126  0.126  0.126
Sm  0.374  0.500  0.000
Sm  0.500  0.000  0.374
Dy  0.000  0.877  0.500
Dy  0.500  0.000  0.877
Dy  0.623  0.623  0.623
Dy  0.877  0.500  0.000
Pt  0.118  0.750  0.868
Pt  0.250  0.632  0.382
Pt  0.382  0.250  0.632
Pt  0.632  0.382  0.250
Pt  0.750  0.868  0.118
Pt  0.868  0.118  0.750

Values from the calculation:
- Total magnetic moment: 0.00 μB/f.u.
- Space group: I2_13 (199)
- Energy of formation: -1.0614 eV/atom
- DOS(E_F): 4.506 states/eV/f.u.


(5)
A plane-wave DFT calculation with PBE was carried out for SrNiTe2 after structural relaxation.

Cell lengths 3.704, 3.704, 8.507 Å; angles 90.00, 90.00, 90.00 degrees
Atoms (fractional coordinates):
Sr  0.000  0.000  0.000
Ni  0.500  0.500  0.681
Te  0.000  0.000  0.615
Te  0.500  0.500  0.226

Values from the calculation:
- E_form (uncorrected): -0.3673 eV per atom
- Total magnetic moment: 0.00 μB/f.u.
- Space group: P4mm (99)
- DOS(E_F): 3.290 states/eV/f.u.


(6)
A plane-wave DFT calculation with PBE was carried out for AcAg4Hg6 after structural relaxation.

Cell lengths 7.387, 7.387, 7.387 Å; angles 120.29, 120.29, 89.50 degrees
Atoms (fractional coordinates):
Ac  0.000  0.000  0.000
Ag  0.262  0.262  0.666
Ag  0.404  0.738  0.000
Ag  0.596  0.596  0.334
Ag  0.738  0.404  0.000
Hg  0.000  0.500  0.500
Hg  0.106  0.468  0.000
Hg  0.468  0.106  0.000
Hg  0.500  0.000  0.500
Hg  0.532  0.532  0.638
Hg  0.894  0.894  0.362

Values from the calculation:
- Total magnetic moment: 0.00 μB/f.u.
- Space group: I-42m (121)
- Energy of formation: -0.0591 eV/atom
- DOS(E_F): 5.263 states/eV/f.u.